Na2Cd5In3: relaxed, PBE.

Output
The formation energy is -0.067 eV per atom. The energy above the most stable polymorph in this dataset is 0.000 eV per atom. The value obtained for the density of states at the Fermi level is 6.85 states/eV per cell. Its total energy is -1.610 eV/atom. Its space group is C2/c, No. 15.

Geometry as POSCAR:
```
Na2Cd5In3
1.0
5.870 -6.963 0.000
5.870 6.963 0.000
-0.598 0.000 6.170
Na Cd In
4 10 6
Cartesian
3.904 3.557 5.443
6.939 3.557 3.812
4.204 -3.557 2.358
7.238 -3.557 0.727
4.013 4.960 2.358
2.436 0.590 6.161
7.428 4.960 0.727
2.736 -0.590 3.076
5.422 0.599 4.628
5.721 -0.599 1.543
8.407 0.590 3.094
3.714 -4.960 5.443
8.706 -0.590 0.009
7.129 -4.960 3.812
5.422 6.510 4.628
4.221 2.073 2.320
7.221 2.073 0.765
3.921 -2.073 5.405
6.922 -2.073 3.850
5.721 -6.510 1.543
```